# 1
Material: Ce2GeBIr6
Method: DFT, GGA-PBE
State: optimized geometry

Properties
ΔH_f (0 K) ... -0.5356 eV per atom
Uncorrected energy ... -8.168 eV per atom
SG ... Pmmn

POSCAR file:
```
Ce2GeBIr6
1.0
5.6760 0.0000 0.0000
0.0000 8.4902 0.0000
0.0000 0.0000 7.2442
Ce Ge B Ir
4 2 2 12
direct
0.2500 0.0316 0.2115 Ce
0.2500 0.4684 0.2115 Ce
0.7500 0.5316 0.7885 Ce
0.7500 0.9684 0.7885 Ce
0.2500 0.7500 0.8218 Ge
0.7500 0.2500 0.1782 Ge
0.2500 0.2500 0.6904 B
0.7500 0.7500 0.3096 B
0.0004 0.2500 0.9019 Ir
0.9996 0.7500 0.0981 Ir
0.0143 0.7500 0.5063 Ir
0.2500 0.0022 0.6387 Ir
0.2500 0.4978 0.6387 Ir
0.4857 0.7500 0.5063 Ir
0.4996 0.2500 0.9019 Ir
0.5004 0.7500 0.0981 Ir
0.5143 0.2500 0.4937 Ir
0.7500 0.5022 0.3613 Ir
0.7500 0.9978 0.3613 Ir
0.9857 0.2500 0.4937 Ir
```



# 2
Material: Ce3GeB2Ir9
Method: DFT, GGA-PBE
State: optimized geometry

Properties
ΔH_f (0 K) ... -0.5089 eV per atom
Uncorrected energy ... -8.210 eV per atom
SG ... P-3m1

POSCAR file:
```
Ce3GeB2Ir9
1.0
5.7868 0.0000 0.0000
-2.8934 5.0115 0.0000
0.0000 0.0000 8.7769
Ce Ge B Ir
3 1 2 9
direct
0.0000 0.0000 0.0000 Ce
0.3333 0.6667 0.6208 Ce
0.6667 0.3333 0.3792 Ce
0.0000 0.0000 0.5000 Ge
0.3333 0.6667 0.1490 B
0.6667 0.3333 0.8510 B
0.0000 0.5000 0.0000 Ir
0.1618 0.3236 0.2812 Ir
0.1618 0.8382 0.2812 Ir
0.3236 0.1618 0.7188 Ir
0.5000 0.0000 0.0000 Ir
0.5000 0.5000 0.0000 Ir
0.6764 0.8382 0.2812 Ir
0.8382 0.1618 0.7188 Ir
0.8382 0.6764 0.7188 Ir
```



# 3
Material: CeGe2BOs2
Method: DFT, GGA-PBE
State: optimized geometry

Properties
ΔH_f (0 K) ... -0.3575 eV per atom
Uncorrected energy ... -7.742 eV per atom
SG ... P4/mmm

POSCAR file:
```
CeGe2BOs2
1.0
4.2080 0.0000 0.0000
0.0000 4.2080 0.0000
0.0000 0.0000 5.5181
Ce Ge B Os
1 2 1 2
direct
0.0000 0.0000 0.0000 Ce
0.5000 0.5000 0.2225 Ge
0.5000 0.5000 0.7775 Ge
0.0000 0.0000 0.5000 B
0.0000 0.5000 0.5000 Os
0.5000 0.0000 0.5000 Os
```